No. 1
Ca5Tl12In2 | PBE | relaxed

Unit cell a=16.245 b=8.507 c=8.299 alpha=90.00 beta=95.61 gamma=90.00
Space group C2/m (No. 12)
Inequivalent atoms, fractional coordinates:
Ca 0.000 0.000 0.000
Ca 0.158 0.500 0.455
Ca 0.245 0.000 0.064
Tl 0.042 0.500 0.764
Tl 0.110 0.302 0.106
Tl 0.146 0.000 0.376
Tl 0.174 0.191 0.730
In 0.000 0.202 0.500

Computed properties:
As for the formation energy: -0.19 eV/atom. Its volume is 30.0 Å³ per atom.

No. 2
CaTl3In | PBE | relaxed

Unit cell a=6.106 b=5.637 c=8.832 alpha=90.00 beta=106.96 gamma=90.00
Space group P2_1/m (No. 11)
Inequivalent atoms, fractional coordinates:
Ca 0.068 0.250 0.314
Tl 0.149 0.750 0.089
Tl 0.271 0.250 0.717
Tl 0.345 0.750 0.501
In 0.464 0.250 0.106

Computed properties:
As for the energy above the most stable polymorph in this dataset: 0.0 meV per atom. As for the formation energy: -0.17 eV/atom. Its volume is 29.1 Å³ per atom.

No. 3
CaTl6In | PBE | relaxed

Unit cell a=9.221 b=6.697 c=8.918 alpha=90.00 beta=106.70 gamma=90.00
Space group C2/m (No. 12)
Inequivalent atoms, fractional coordinates:
Ca 0.000 0.000 0.000
Tl 0.132 0.500 0.924
Tl 0.212 0.264 0.306
In 0.000 0.500 0.500

Computed properties:
As for the energy above the most stable polymorph in this dataset: 116.1 meV per atom. As for the formation energy: 0.02 eV/atom. Its volume is 33.0 Å³ per atom.

No. 4
CaTl3In | PBE | relaxed

Unit cell a=5.941 b=5.941 c=5.941 alpha=90.00 beta=90.00 gamma=90.00
Space group Pm-3m (No. 221)
Inequivalent atoms, fractional coordinates:
Ca 0.000 0.000 0.000
Tl 0.000 0.000 0.500
In 0.500 0.500 0.500

Computed properties:
As for the energy above the most stable polymorph in this dataset: 573.7 meV per atom. As for the formation energy: 0.40 eV/atom. Its volume is 41.9 Å³ per atom.

No. 5
Ca4Tl15In | PBE | relaxed

Unit cell a=4.856 b=4.856 c=24.657 alpha=90.00 beta=90.00 gamma=90.00
Space group P4/mmm (No. 123)
Inequivalent atoms, fractional coordinates:
Ca 0.000 0.000 0.098
Ca 0.000 0.000 0.295
Tl 0.000 0.500 0.000
Tl 0.000 0.500 0.197
Tl 0.000 0.500 0.397
Tl 0.500 0.500 0.097
Tl 0.500 0.500 0.295
Tl 0.500 0.500 0.500
In 0.000 0.000 0.500

Computed properties:
As for the formation energy: -0.18 eV/atom. Its volume is 29.1 Å³ per atom.

No. 6
Ca5TlIn2 | PBE | relaxed

Unit cell a=8.414 b=8.414 c=14.903 alpha=90.00 beta=90.00 gamma=90.00
Space group I4/mcm (No. 140)
Inequivalent atoms, fractional coordinates:
Ca 0.000 0.000 0.000
Ca 0.171 0.329 0.146
Tl 0.000 0.000 0.250
In 0.124 0.376 0.500

Computed properties:
As for the formation energy: -0.36 eV/atom. Its volume is 33.0 Å³ per atom.

No. 7
Ca2Tl8In | PBE | relaxed

Unit cell a=14.820 b=6.336 c=7.792 alpha=90.00 beta=112.56 gamma=90.00
Space group C2/m (No. 12)
Inequivalent atoms, fractional coordinates:
Ca 0.161 0.000 0.290
Tl 0.080 0.257 0.888
Tl 0.104 0.500 0.472
Tl 0.241 0.000 0.761
In 0.000 0.000 0.500

Computed properties:
As for the energy above the most stable polymorph in this dataset: 43.5 meV per atom. As for the formation energy: -0.09 eV/atom. Its volume is 30.7 Å³ per atom.

No. 8
Ca2Tl7In2 | PBE | relaxed

Unit cell a=10.357 b=10.926 c=6.332 alpha=90.00 beta=111.66 gamma=90.00
Space group C2/m (No. 12)
Inequivalent atoms, fractional coordinates:
Ca 0.000 0.217 0.000
Tl 0.000 0.000 0.500
Tl 0.088 0.500 0.307
Tl 0.166 0.261 0.659
In 0.238 0.000 0.031

Computed properties:
As for the energy above the most stable polymorph in this dataset: 0.0 meV per atom. As for the formation energy: -0.11 eV/atom. Its volume is 30.3 Å³ per atom.

No. 9
Ca3Tl4In | PBE | relaxed

Unit cell a=5.445 b=5.445 c=7.832 alpha=90.00 beta=90.00 gamma=90.00
Space group P4/mmm (No. 123)
Inequivalent atoms, fractional coordinates:
Ca 0.000 0.000 0.000
Ca 0.000 0.000 0.500
Ca 0.500 0.500 0.000
Tl 0.000 0.500 0.256
In 0.500 0.500 0.500

Computed properties:
As for the energy above the most stable polymorph in this dataset: 0.0 meV per atom. As for the formation energy: -0.33 eV/atom. Its volume is 29.0 Å³ per atom.

No. 10
Ca3Tl12In | PBE | relaxed

Unit cell a=4.946 b=4.946 c=19.041 alpha=90.00 beta=90.00 gamma=90.00
Space group P4/mmm (No. 123)
Inequivalent atoms, fractional coordinates:
Ca 0.000 0.000 0.000
Ca 0.000 0.000 0.248
Tl 0.000 0.500 0.125
Tl 0.000 0.500 0.375
Tl 0.500 0.500 0.000
Tl 0.500 0.500 0.246
Tl 0.500 0.500 0.500
In 0.000 0.000 0.500

Computed properties:
As for the formation energy: -0.16 eV/atom. Its volume is 29.1 Å³ per atom.

No. 11
Ca10Tl3In3 | PBE | relaxed

Unit cell a=9.5875 b=9.5875 c=6.6461 alpha=90.00 beta=90.00 gamma=120.00
Space group P-62m (No. 189)
Inequivalent atoms, fractional coordinates:
Ca 0.0000 0.2635 0.0000
Ca 0.0000 0.7358 0.5000
Ca 0.3333 0.6667 0.2493
Tl 0.0000 0.3921 0.5000
In 0.0000 0.6082 0.0000

Computed properties:
As for the formation energy: -0.36 eV/atom. Its volume is 33.1 Å³ per atom.

No. 12
Ca5Tl6In | PBE | relaxed

Unit cell a=5.483 b=16.324 c=7.798 alpha=90.00 beta=90.00 gamma=90.00
Space group Cmmm (No. 65)
Inequivalent atoms, fractional coordinates:
Ca 0.000 0.000 0.000
Ca 0.000 0.330 0.000
Ca 0.000 0.337 0.500
Tl 0.000 0.164 0.258
Tl 0.000 0.500 0.252
In 0.000 0.000 0.500

Computed properties:
As for the formation energy: -0.37 eV/atom. Its volume is 29.1 Å³ per atom.

Q: Among the records above, which one has the highest volume?
A: number 4

Q: Which value of volume does entry 5 give?
A: 29.1 Å³ per atom

Q: What is the formula in the eighth record?
A: Ca2Tl7In2